First-principles (GGA-PBEsol) data for a relaxed Na2TcHF crystal, as listed in Alexandria.

```
Na2TcHF
1.0
5.808 0.000 0.000
0.000 5.808 0.000
0.000 0.000 3.979
Na Tc H F
2 1 1 1
Cartesian
0.000 2.904 0.000
2.904 0.000 0.000
0.000 0.000 0.000
2.904 2.904 1.989
0.000 0.000 1.989
```

Crystal system: tetragonal
Energy, eV per atom: -3.37